VASP calculation (PBE) on an optimized crystal structure of Ti2Ir2W.

```
data_Ti2Ir2W
_cell_length_a 7.380
_cell_length_b 7.380
_cell_length_c 2.899
_cell_angle_alpha 90.00
_cell_angle_beta 90.00
_cell_angle_gamma 90.00
_symmetry_space_group_name_H-M 'P 4/m b m'
_symmetry_Int_Tables_number 127
_symmetry_space_group_name_Hall '-P 4 2ab'
loop_
_atom_site_label
_atom_site_fract_x
_atom_site_fract_y
_atom_site_fract_z
Ti1 0.164 0.336 0.000
Ir1 0.135 0.635 0.500
W1 0.000 0.000 0.500
```

Computed properties:
* calculated total energy: -9.679 eV/atom
* theoretical density: 14.0 Mg/m³
* ΔH_f (0 K): -0.386 eV/atom


VASP calculation (PBE) on an optimized crystal structure of TaBiTe3.

```
data_TaBiTe3
_cell_length_a 7.7445
_cell_length_b 7.7445
_cell_length_c 5.7577
_cell_angle_alpha 90.00
_cell_angle_beta 90.00
_cell_angle_gamma 120.00
_symmetry_space_group_name_H-M 'P 63/m m c'
_symmetry_Int_Tables_number 194
_symmetry_space_group_name_Hall '-P 6c 2c'
loop_
_atom_site_label
_atom_site_fract_x
_atom_site_fract_y
_atom_site_fract_z
Ta1 0.0000 0.0000 0.0000
Bi1 0.3333 0.6667 0.2500
Te1 0.1792 0.3584 0.7500
```

Computed properties:
* energy relative to the elements, uncorrected: 0.0662 eV per atom
* calculated total energy: -4.966 eV/atom
* theoretical density: 8.6 Mg/m³


VASP calculation (PBE) on an optimized crystal structure of Y2LuAl.

```
data_Y2LuAl
_cell_length_a 7.533
_cell_length_b 7.533
_cell_length_c 7.533
_cell_angle_alpha 90.00
_cell_angle_beta 90.00
_cell_angle_gamma 90.00
_symmetry_space_group_name_H-M 'F m -3 m'
_symmetry_Int_Tables_number 225
_symmetry_space_group_name_Hall '-F 4 2 3'
loop_
_atom_site_label
_atom_site_fract_x
_atom_site_fract_y
_atom_site_fract_z
Y1 0.250 0.250 0.250
Lu1 0.000 0.000 0.000
Al1 0.000 0.000 0.500
```

Computed properties:
* calculated total energy: -5.384 eV/atom
* theoretical density: 5.9 Mg/m³
* ΔH_f (0 K): -0.086 eV/atom


VASP calculation (PBE) on an optimized crystal structure of Sr2CrCd.

```
data_Sr2CrCd
_cell_length_a 4.8644
_cell_length_b 4.8644
_cell_length_c 22.8215
_cell_angle_alpha 90.00
_cell_angle_beta 90.00
_cell_angle_gamma 120.00
_symmetry_space_group_name_H-M 'R 3 m'
_symmetry_Int_Tables_number 160
_symmetry_space_group_name_Hall 'R 3 -2"'
loop_
_atom_site_label
_atom_site_fract_x
_atom_site_fract_y
_atom_site_fract_z
Sr1 0.0000 0.0000 0.0000
Sr2 0.0000 0.0000 0.1807
Cr1 0.0000 0.0000 0.7574
Cd1 0.0000 0.0000 0.4234
```

Computed properties:
* calculated total energy: -3.248 eV/atom
* theoretical density: 3.6 Mg/m³
* ΔH_f (0 K): 0.228 eV/atom


VASP calculation (PBE) on an optimized crystal structure of Cr4MoW5.

```
data_Cr4MoW5
_cell_length_a 3.062
_cell_length_b 3.062
_cell_length_c 15.310
_cell_angle_alpha 90.00
_cell_angle_beta 90.00
_cell_angle_gamma 90.00
_symmetry_space_group_name_H-M 'P 4/m m m'
_symmetry_Int_Tables_number 123
_symmetry_space_group_name_Hall '-P 4 2'
loop_
_atom_site_label
_atom_site_fract_x
_atom_site_fract_y
_atom_site_fract_z
Cr1 0.000 0.000 0.098
Cr2 0.000 0.000 0.295
Mo1 0.000 0.000 0.500
W1 0.500 0.500 0.000
W2 0.500 0.500 0.196
W3 0.500 0.500 0.393
```

Computed properties:
* calculated total energy: -11.374 eV/atom
* theoretical density: 14.1 Mg/m³
* ΔH_f (0 K): 0.035 eV/atom


VASP calculation (PBE) on an optimized crystal structure of Mn3Au5.

```
data_Mn3Au5
_cell_length_a 5.305
_cell_length_b 13.702
_cell_length_c 7.889
_cell_angle_alpha 90.00
_cell_angle_beta 90.00
_cell_angle_gamma 90.00
_symmetry_space_group_name_H-M 'A m m 2'
_symmetry_Int_Tables_number 38
loop_
_symmetry_equiv_pos_as_xyz
'x,y,z'
'-x,-y,z'
'-x,y,z'
'x,-y,z'
'x,y+1/2,z+1/2'
'-x,-y+1/2,z+1/2'
'-x,y+1/2,z+1/2'
'x,-y+1/2,z+1/2'
loop_
_atom_site_label
_atom_site_fract_x
_atom_site_fract_y
_atom_site_fract_z
Mn1 0.000 0.000 0.000
Mn2 0.000 0.187 0.561
Mn3 0.500 0.000 0.784
Mn4 0.500 0.203 0.171
Au1 0.000 0.000 0.650
Au2 0.000 0.138 0.236
Au3 0.249 0.167 0.874
Au4 0.500 0.000 0.151
Au5 0.500 0.113 0.489
```

Computed properties:
* calculated total energy: -5.390 eV/atom
* theoretical density: 13.3 Mg/m³
* ΔH_f (0 K): 0.097 eV/atom


VASP calculation (PBE) on an optimized crystal structure of Tb2Pm2YHo2.

```
data_Tb2Pm2YHo2
_cell_length_a 5.6982
_cell_length_b 5.6982
_cell_length_c 24.4947
_cell_angle_alpha 90.00
_cell_angle_beta 90.00
_cell_angle_gamma 120.00
_symmetry_space_group_name_H-M 'R -3 m'
_symmetry_Int_Tables_number 166
_symmetry_space_group_name_Hall '-R 3 2"'
loop_
_atom_site_label
_atom_site_fract_x
_atom_site_fract_y
_atom_site_fract_z
Tb1 0.0000 0.0000 0.2171
Pm1 0.0000 0.0000 0.3609
Y1 0.0000 0.0000 0.5000
Ho1 0.0000 0.0000 0.0739
```

Computed properties:
* calculated total energy: -4.772 eV/atom
* theoretical density: 7.4 Mg/m³
* ΔH_f (0 K): 0.140 eV/atom


VASP calculation (PBE) on an optimized crystal structure of Ac5H12Rh3.

```
data_Ac5H12Rh3
_cell_length_a 13.222
_cell_length_b 13.222
_cell_length_c 13.222
_cell_angle_alpha 90.00
_cell_angle_beta 90.00
_cell_angle_gamma 90.00
_symmetry_space_group_name_H-M 'I a -3 d'
_symmetry_Int_Tables_number 230
_symmetry_space_group_name_Hall '-I 4bd 2c 3'
loop_
_atom_site_label
_atom_site_fract_x
_atom_site_fract_y
_atom_site_fract_z
Ac1 0.000 0.000 0.000
Ac2 0.000 0.250 0.375
H1 0.013 0.123 0.639
Rh1 0.000 0.250 0.125
```

Computed properties:
* calculated total energy: -4.254 eV/atom
* theoretical density: 8.4 Mg/m³


VASP calculation (PBE) on an optimized crystal structure of PuZn3As3.

```
data_PuZn3As3
_cell_length_a 7.2077
_cell_length_b 7.2077
_cell_length_c 20.4056
_cell_angle_alpha 90.00
_cell_angle_beta 90.00
_cell_angle_gamma 120.00
_symmetry_space_group_name_H-M 'R -3'
_symmetry_Int_Tables_number 148
_symmetry_space_group_name_Hall '-R 3'
loop_
_atom_site_label
_atom_site_fract_x
_atom_site_fract_y
_atom_site_fract_z
Pu1 0.0000 0.0000 0.1661
Zn1 0.0013 0.6636 0.6217
As1 0.0013 0.6701 0.4178
```

Computed properties:
* calculated total energy: -5.003 eV/atom
* theoretical density: 7.2 Mg/m³
* ΔH_f (0 K): -0.417 eV/atom


VASP calculation (PBE) on an optimized crystal structure of AcTe2Pd2.

```
data_AcTe2Pd2
_cell_length_a 6.191
_cell_length_b 6.264
_cell_length_c 8.189
_cell_angle_alpha 95.07
_cell_angle_beta 107.32
_cell_angle_gamma 118.66
_symmetry_space_group_name_H-M 'P -1'
_symmetry_Int_Tables_number 2
loop_
_symmetry_equiv_pos_as_xyz
'x,y,z'
'-x,-y,-z'
loop_
_atom_site_label
_atom_site_fract_x
_atom_site_fract_y
_atom_site_fract_z
Ac1 0.081 0.331 0.248
Te1 0.250 0.367 0.685
Te2 0.323 0.936 0.185
Pd1 0.269 0.977 0.514
Pd2 0.460 0.258 0.986
```

Computed properties:
* energy relative to the elements, uncorrected: -0.8784 eV per atom
* calculated total energy: -5.034 eV/atom
* theoretical density: 9.0 Mg/m³


VASP calculation (PBE) on an optimized crystal structure of Y2MnRe.

```
data_Y2MnRe
_cell_length_a 3.531
_cell_length_b 3.531
_cell_length_c 6.949
_cell_angle_alpha 90.00
_cell_angle_beta 90.00
_cell_angle_gamma 90.00
_symmetry_space_group_name_H-M 'P 4/m m m'
_symmetry_Int_Tables_number 123
_symmetry_space_group_name_Hall '-P 4 2'
loop_
_atom_site_label
_atom_site_fract_x
_atom_site_fract_y
_atom_site_fract_z
Y1 0.000 0.000 0.235
Mn1 0.500 0.500 0.500
Re1 0.500 0.500 0.000
```

Computed properties:
* calculated total energy: -8.333 eV/atom
* theoretical density: 8.0 Mg/m³
* ΔH_f (0 K): 0.304 eV/atom


VASP calculation (PBE) on an optimized crystal structure of KCd3Pb.

```
data_KCd3Pb
_cell_length_a 5.948
_cell_length_b 5.948
_cell_length_c 5.948
_cell_angle_alpha 90.00
_cell_angle_beta 90.00
_cell_angle_gamma 90.00
_symmetry_space_group_name_H-M 'P m -3 m'
_symmetry_Int_Tables_number 221
_symmetry_space_group_name_Hall '-P 4 2 3'
loop_
_atom_site_label
_atom_site_fract_x
_atom_site_fract_y
_atom_site_fract_z
K1 0.000 0.000 0.000
Cd1 0.000 0.000 0.500
Pb1 0.500 0.500 0.500
```

Computed properties:
* calculated total energy: -0.794 eV/atom
* theoretical density: 4.6 Mg/m³
* ΔH_f (0 K): 0.716 eV/atom


VASP calculation (PBE) on an optimized crystal structure of MgNiPd4.

```
data_MgNiPd4
_cell_length_a 4.495
_cell_length_b 19.587
_cell_length_c 4.477
_cell_angle_alpha 90.00
_cell_angle_beta 90.00
_cell_angle_gamma 90.00
_symmetry_space_group_name_H-M 'C m c 21'
_symmetry_Int_Tables_number 36
loop_
_symmetry_equiv_pos_as_xyz
'x,y,z'
'-x,-y,z+1/2'
'-x,y,z'
'x,-y,z+1/2'
'x+1/2,y+1/2,z'
'-x+1/2,-y+1/2,z+1/2'
'-x+1/2,y+1/2,z'
'x+1/2,-y+1/2,z+1/2'
loop_
_atom_site_label
_atom_site_fract_x
_atom_site_fract_y
_atom_site_fract_z
Mg1 0.000 0.093 0.000
Ni1 0.000 0.399 0.997
Pd1 0.000 0.168 0.499
Pd2 0.000 0.253 0.998
Pd3 0.000 0.330 0.497
Pd4 0.000 0.469 0.496
```

Computed properties:
* calculated total energy: -4.787 eV/atom
* theoretical density: 8.6 Mg/m³
* ΔH_f (0 K): -0.096 eV/atom


VASP calculation (PBE) on an optimized crystal structure of Th6CuC5.

```
data_Th6CuC5
_cell_length_a 6.5898
_cell_length_b 6.5898
_cell_length_c 12.7811
_cell_angle_alpha 90.00
_cell_angle_beta 90.00
_cell_angle_gamma 120.00
_symmetry_space_group_name_H-M 'P 63/m c m'
_symmetry_Int_Tables_number 193
_symmetry_space_group_name_Hall '-P 6c 2'
loop_
_atom_site_label
_atom_site_fract_x
_atom_site_fract_y
_atom_site_fract_z
Th1 0.0000 0.3686 0.1221
Cu1 0.0000 0.0000 0.2500
C1 0.0000 0.3158 0.7500
C2 0.3333 0.6667 0.0000
```

Computed properties:
* calculated total energy: -7.966 eV/atom
* theoretical density: 10.5 Mg/m³
* ΔH_f (0 K): -0.071 eV/atom


VASP calculation (PBE) on an optimized crystal structure of NaLa2Dy3Te6.

```
data_NaLa2Dy3Te6
_cell_length_a 19.545
_cell_length_b 4.423
_cell_length_c 9.006
_cell_angle_alpha 90.00
_cell_angle_beta 104.20
_cell_angle_gamma 90.00
_symmetry_space_group_name_H-M 'C 1 2/m 1'
_symmetry_Int_Tables_number 12
loop_
_symmetry_equiv_pos_as_xyz
'x,y,z'
'-x,-y,-z'
'-x,y,-z'
'x,-y,z'
'x+1/2,y+1/2,z'
'-x+1/2,-y+1/2,-z'
'-x+1/2,y+1/2,-z'
'x+1/2,-y+1/2,z'
loop_
_atom_site_label
_atom_site_fract_x
_atom_site_fract_y
_atom_site_fract_z
Na1 0.000 0.000 0.000
La1 0.169 0.500 0.338
Dy1 0.000 0.000 0.500
Dy2 0.167 0.500 0.826
Te1 0.003 0.500 0.746
Te2 0.162 0.000 0.591
Te3 0.168 0.000 0.071
```

Computed properties:
* energy relative to the elements, uncorrected: -1.4062 eV per atom
* calculated total energy: -5.059 eV/atom
* theoretical density: 6.8 Mg/m³


VASP calculation (PBE) on an optimized crystal structure of Rb2Li2Fe.

```
data_Rb2Li2Fe
_cell_length_a 10.695
_cell_length_b 10.695
_cell_length_c 3.424
_cell_angle_alpha 90.00
_cell_angle_beta 90.00
_cell_angle_gamma 90.00
_symmetry_space_group_name_H-M 'P 4/m b m'
_symmetry_Int_Tables_number 127
_symmetry_space_group_name_Hall '-P 4 2ab'
loop_
_atom_site_label
_atom_site_fract_x
_atom_site_fract_y
_atom_site_fract_z
Rb1 0.202 0.298 0.000
Li1 0.091 0.591 0.500
Fe1 0.000 0.000 0.000
```

Computed properties:
* calculated total energy: -1.921 eV/atom
* theoretical density: 2.0 Mg/m³
* ΔH_f (0 K): 0.924 eV/atom